A relaxed structure of Sr2MoRuO, computed with PBE with a Hubbard U.

```
5
Lattice="5.063 0.000 0.000 0.000 5.063 0.000 0.000 0.000 4.371" Properties=species:S:1:pos:R:3 pbc="T T T"
Sr 0.000 2.531 0.000
Sr 2.531 0.000 0.000
Mo 0.000 0.000 2.186
Ru 2.531 2.531 2.186
O 0.000 0.000 0.000
```

Values from the calculation:
- DFT total energy (eV/atom) = -5.1839
- density (g cm⁻³) = 5.75
- SG = No. 123